Record 1
Ce4NdAl3: optimized geometry, PBE-GGA.

a b c (Å): 19.4671 4.5025 4.6502
angles (deg): 90.00 103.10 90.00
With the nearest neighbours (Å) after each atom.
Space group C2/m (No. 12)
Asymmetric unit:
1 Ce 0.1360 0.0000 0.0864  2 Ce 2.91, 4 Al 3.15-3.18
2 Ce 0.1360 0.5000 0.6896  2 Ce 2.91, 4 Al 3.15-3.20
3 Nd 0.0000 0.0000 0.5000  4 Al 3.24, 8 Ce 3.34-3.61
4 Al 0.0000 0.5000 0.0000  4 Nd 3.24, 6 Ce 3.29-3.43
5 Al 0.2494 0.0000 0.6979  2 Al 2.91, 8 Ce 3.15-3.20

Summary:
* energy of formation: -217 meV per atom
* magnetization: 1.5 μB/cell
* uncorrected energy: -5.1830 eV/atom

Record 2
Mg2SiPd2: optimized geometry, PBE-GGA.

a b c (Å): 7.5381 7.5381 2.9851
angles (deg): 90.00 90.00 90.00
With the nearest neighbours (Å) after each atom.
Space group P4/mbm (No. 127)
Asymmetric unit:
1 Mg 0.1456 0.3544 0.0000  6 Pd 2.64-2.68, 2 Si 2.89
2 Si 0.0000 0.0000 0.0000  4 Mg 2.89, 2 Si 2.99
3 Pd 0.1500 0.6500 0.5000  6 Mg 2.64-2.68

Summary:
* energy relative to the elements, uncorrected: -0.2569 eV/atom
* magnetization: 0.0 μB/cell
* uncorrected energy: -4.0565 eV/atom

Record 3
NaIn4Ag2: optimized geometry, PBE-GGA.

a b c (Å): 8.7691 8.7691 9.0500
angles (deg): 90.00 90.00 90.00
With the nearest neighbours (Å) after each atom.
Space group I-42d (No. 122)
Asymmetric unit:
1 Na 0.0000 0.0000 0.0000  8 In 3.24-3.42, 4 Ag 3.57
2 In 0.0766 0.1505 0.3405  3 Ag 2.87-2.94, 2 In 2.96-3.10
3 Ag 0.2052 0.2500 0.6250  6 In 2.87-2.94

Summary:
* energy of formation: -19 meV per atom
* magnetization: 0.0 μB/cell
* uncorrected energy: -2.5869 eV/atom

Record 4
FeNiH3Rh: optimized geometry, PBE-GGA.

a b c (Å): 4.5491 2.7795 7.1938
angles (deg): 90.00 98.95 90.00
With the nearest neighbours (Å) after each atom.
Space group P2_1/m (No. 11)
Asymmetric unit:
1 Fe 0.1757 0.2500 0.2100  6 H 1.93-2.08
2 Ni 0.3369 0.2500 0.8802  5 H 1.74-1.90
3 H 0.0478 0.2500 0.6876  1 Ni 1.76, 2 Fe 1.93
4 H 0.2720 0.7500 0.0131  3 Ni 1.74-1.82
5 H 0.4684 0.7500 0.3358  1 Ni 1.90, 3 Rh 1.93-1.98, 2 Fe 2.04
6 Rh 0.2630 0.7500 0.5589  6 H 1.93-2.09

Summary:
* magnetization: 6.6 μB/cell
* uncorrected energy: -5.2440 eV/atom

Question: magnetization of number 3 (NaIn4Ag2)?
Answer: 0.0 μB/cell

Question: The highest uncorrected energy belongs to which entry?
Answer: NaIn4Ag2

Question: Which value of uncorrected energy does entry 3 give?
Answer: -2.5869 eV/atom